1.
Entry from the Open Quantum Materials Database: a relaxed Sm2B5 crystal (PBE-GGA).

Cell lengths 7.3925, 7.3925, 3.8507 Å; angles 90.00, 90.00, 152.58 degrees
Element x y z (fractional)
B 0.7211 0.2789 0.5000
B 0.5000 0.5000 0.5000
Sm 0.1299 0.8701 0.0000
B 0.6082 0.3918 0.5000
B 0.3918 0.6082 0.5000
B 0.2789 0.7211 0.5000
Sm 0.8701 0.1299 0.0000

- Total energy: -44.49 eV/cell
- ΔE to the lowest computed polymorph: 316.6 meV per atom
- Crystal system: orthorhombic
- Symmetry: No. 65


2.
Entry from the Open Quantum Materials Database: a relaxed Sm5B crystal (PBE-GGA).

Cell lengths 6.1803, 6.1803, 5.9934 Å; angles 90.00, 90.00, 120.00 degrees
Each line ends with the local moment (μB).
Element x y z (fractional)
Sm 0.0000 0.5000 0.5000  0.10
Sm 0.3333 0.6667 0.0000  0.13
Sm 0.5000 0.0000 0.5000  0.12
B 0.0000 0.0000 0.0000  -0.01
Sm 0.5000 0.5000 0.5000  0.15
Sm 0.6667 0.3333 0.0000  0.13

- Total energy: -22.87 eV/cell
- Crystal system: hexagonal
- Symmetry: No. 191


3.
Entry from the Open Quantum Materials Database: a relaxed SmB4 crystal (PBE-GGA).

Cell lengths 7.1691, 7.1691, 4.0744 Å; angles 90.00, 90.00, 90.00 degrees
Element x y z (fractional)
B 0.5386 0.6752 0.5000
B 0.9614 0.1752 0.5000
B 0.4127 0.0873 0.5000
B 0.1752 0.0386 0.5000
B 0.5000 0.5000 0.7958
B 0.0000 0.0000 0.7958
B 0.5873 0.9127 0.5000
Sm 0.8167 0.6833 0.0000
B 0.3248 0.5386 0.5000
Sm 0.6833 0.1833 0.0000
B 0.0386 0.8248 0.5000
Sm 0.3167 0.8167 0.0000
B 0.6752 0.4614 0.5000
B 0.5000 0.5000 0.2042
B 0.9127 0.4127 0.5000
B 0.8248 0.9614 0.5000
B 0.0000 0.0000 0.2042
B 0.4614 0.3248 0.5000
B 0.0873 0.5873 0.5000
Sm 0.1833 0.3167 0.0000

- Total energy: -137.42 eV/cell
- Crystal system: tetragonal
- Symmetry: No. 127


4.
Entry from the Open Quantum Materials Database: a relaxed Sm2B5 crystal (PBE-GGA).

Cell lengths 7.2020, 7.2060, 7.2355 Å; angles 90.00, 101.89, 90.00 degrees
Element x y z (fractional)
Sm 0.2404 0.3163 0.2586
B 0.3167 0.0014 0.4634
Sm 0.2343 0.6900 0.6311
B 0.4993 0.0907 0.0907
B 0.0791 0.0062 0.4322
B 0.5025 0.3275 0.0402
B 0.5007 0.5907 0.4093
B 0.3167 0.4986 0.9634
Sm 0.7657 0.1900 0.8689
Sm 0.7596 0.6837 0.7414
B 0.5007 0.9093 0.9093
B 0.4970 0.4610 0.8270
Sm 0.7657 0.3100 0.3689
B 0.6833 0.5014 0.0366
B 0.4975 0.8275 0.4598
Sm 0.2343 0.8100 0.1311
B 0.4993 0.4093 0.5907
B 0.0791 0.4938 0.9322
B 0.5030 0.9610 0.6730
B 0.9209 0.9938 0.5678
B 0.5025 0.1725 0.5402
B 0.4970 0.0390 0.3270
Sm 0.2404 0.1837 0.7586
B 0.6833 0.9986 0.5366
B 0.5030 0.5390 0.1730
B 0.4975 0.6725 0.9598
Sm 0.7596 0.8163 0.2414
B 0.9209 0.5062 0.0678

- Total energy: -186.84 eV/cell
- ΔE to the lowest computed polymorph: 0.0 meV per atom
- Crystal system: monoclinic
- Symmetry: No. 14